DFT (PBE) results for crystalline Li2CuRu at its relaxed geometry.

Output
DOS at the Fermi energy ... 0.665 states/eV/atom
Calculated total energy ... -16.75 eV for the cell shown
V ... 52.99 Å³ per cell

```
Li2CuRu
1.0
-1.373 -0.863 1.923
-1.043 -1.716 -1.515
6.100 -5.408 1.929
Li Ru Cu
2 1 1
Direct
0.000 0.000 0.996 Li
0.000 0.000 0.504 Li
0.500 0.500 0.250 Ru
0.500 0.500 0.750 Cu
```